(1)
{"formula": "Li2TaHg", "functional": "PBE-GGA", "state": "optimized geometry", "lattice_angstrom": [[1.608, -2.293, 0.000], [1.608, 2.293, 0.000], [0.000, 0.000, 9.904]], "species": ["Li", "Li", "Ta", "Hg"], "frac_coords": [[0.000, 0.000, 0.247], [0.000, 0.000, 0.753], [0.500, 0.500, 0.500], [0.500, 0.500, 0.000]], "final_energy_ev_per_atom": -3.83, "sg": "No. 65", "delta_e_f_ev_per_atom": 0.162, "dos_at_fermi_per_ev_cell": 2.7}

***

(2)
{"formula": "CsAsS4", "functional": "PBE-GGA", "state": "optimized geometry", "lattice_angstrom": [[-4.405, 4.405, 5.794], [4.405, -4.405, 5.794], [4.405, 4.405, -5.794]], "species": ["Cs", "Cs", "As", "As", "S", "S", "S", "S", "S", "S", "S", "S"], "frac_coords": [[0.375, 0.125, 0.250], [0.625, 0.875, 0.750], [0.125, 0.375, 0.750], [0.875, 0.625, 0.250], [0.031, 0.250, 0.913], [0.163, 0.882, 0.413], [0.250, 0.663, 0.781], [0.382, 0.469, 0.719], [0.618, 0.531, 0.281], [0.750, 0.337, 0.219], [0.837, 0.118, 0.587], [0.969, 0.750, 0.087]], "final_energy_ev_per_atom": -3.85, "sg": "No. 88", "formation_energy_uncorrected_ev_per_fu": -1.10}